# 1
Density functional theory data (GGA-PBE) for a relaxed structure of Tm4Ga.

a b c (Å): 7.4129 7.1581 8.8865
angles (deg): 53.73 51.13 75.14
With the nearest neighbours (Å) after each atom.
Fractional positions:
1 Tm 0.0414 0.9586 0.1920  2 Ga 2.83-3.10
2 Tm 0.0580 0.4420 0.2086  2 Ga 2.83-3.10
3 Tm 0.1130 0.5068 0.7426  2 Ga 2.84-3.11
4 Tm 0.4420 0.0580 0.2914  2 Ga 2.83-3.10
5 Tm 0.5068 0.1130 0.6376  2 Ga 2.84-3.11
6 Tm 0.5074 0.6124 0.1370  2 Ga 2.84-3.11
7 Tm 0.6124 0.5074 0.7432  2 Ga 2.84-3.11
8 Tm 0.9586 0.0414 0.8080  2 Ga 2.83-3.10
9 Ga 0.6542 0.6542 0.3458  8 Tm 2.83-3.11
10 Ga 0.9042 0.9042 0.5958  8 Tm 2.83-3.11

The formation energy is -9.6 kJ per mole of atoms. Its energy above the most stable polymorph in this dataset is 0.000 eV per atom. The total energy is -0.315 Ry/atom. The calculation puts the total magnetic moment at 0.0 μB per formula unit. The calculation puts the mass density at 8.5 g/cm3.

***

# 2
Density functional theory data (GGA-PBE) for a relaxed structure of AcLa2Nd6Y.

a b c (Å): 9.1462 9.1462 10.0313
angles (deg): 93.64 93.64 118.43
With the nearest neighbours (Å) after each atom.
Fractional positions:
1 Ac 0.0188 0.9812 0.7500  4 La 3.54-3.59, 4 Nd 3.79-3.86
2 Ac 0.9812 0.0188 0.2500  4 La 3.54-3.59, 4 Nd 3.79-3.86
3 La 0.1989 0.3097 0.5430  6 Nd 3.35-3.74, 2 Ac 3.54-3.59, 1 Y 3.71
4 La 0.3097 0.1989 0.0430  6 Nd 3.35-3.74, 2 Ac 3.54-3.59, 1 Y 3.71
5 La 0.6903 0.8011 0.9570  6 Nd 3.35-3.74, 2 Ac 3.54-3.59, 1 Y 3.71
6 La 0.8011 0.6903 0.4570  6 Nd 3.35-3.74, 2 Ac 3.54-3.59, 1 Y 3.71
7 Nd 0.0184 0.5680 0.6881  3 Nd 3.37-3.77, 2 La 3.53-3.74, 1 Y 3.57
8 Nd 0.1266 0.7429 0.0544  7 Nd 3.53-3.94, 1 La 3.69, 1 Ac 3.86, 1 Y 3.93
9 Nd 0.2571 0.8734 0.4456  7 Nd 3.53-3.94, 1 La 3.69, 1 Ac 3.86, 1 Y 3.93
10 Nd 0.2923 0.5018 0.8814  3 La 3.35-3.58, 4 Nd 3.37-3.63, 2 Y 3.54-3.71
11 Nd 0.4320 0.9816 0.8119  3 Nd 3.37-3.77, 2 La 3.53-3.74, 1 Y 3.57
12 Nd 0.4982 0.7077 0.6186  3 La 3.35-3.58, 4 Nd 3.37-3.63, 2 Y 3.54-3.71
13 Nd 0.5018 0.2923 0.3814  3 La 3.35-3.58, 4 Nd 3.37-3.63, 2 Y 3.54-3.71
14 Nd 0.5680 0.0184 0.1881  3 Nd 3.37-3.77, 2 La 3.53-3.74, 1 Y 3.57
15 Nd 0.7077 0.4982 0.1186  3 La 3.35-3.58, 4 Nd 3.37-3.63, 2 Y 3.54-3.71
16 Nd 0.7429 0.1266 0.5544  7 Nd 3.53-3.94, 1 La 3.69, 1 Ac 3.86, 1 Y 3.93
17 Nd 0.8734 0.2571 0.9456  7 Nd 3.53-3.94, 1 La 3.69, 1 Ac 3.86, 1 Y 3.93
18 Nd 0.9816 0.4320 0.3119  3 Nd 3.37-3.77, 2 La 3.53-3.74, 1 Y 3.57
19 Y 0.4079 0.5921 0.2500  8 Nd 3.54-3.93, 2 La 3.71
20 Y 0.5921 0.4079 0.7500  8 Nd 3.54-3.93, 2 La 3.71

The formation energy is 10.6 kJ per mole of atoms. The total energy is -0.352 Ry/atom. The calculation puts the total magnetic moment at 0.0 μB per formula unit. The calculation puts the mass density at 6.6 g/cm3.

***

# 3
Density functional theory data (GGA-PBE) for a relaxed structure of Hf6NiSn.

a b c (Å): 6.2047 6.2047 6.0668
angles (deg): 103.71 103.71 120.16
With the nearest neighbours (Å) after each atom.
Fractional positions:
1 Hf 0.0120 0.4397 0.2363  1 Ni 2.72, 1 Sn 2.85, 1 Hf 2.90
2 Hf 0.2324 0.2324 0.7773  1 Ni 2.40
3 Hf 0.4397 0.0120 0.2363  1 Ni 2.72, 1 Sn 2.85, 1 Hf 2.90
4 Hf 0.5603 0.9880 0.7637  1 Ni 2.72, 1 Sn 2.85, 1 Hf 2.90
5 Hf 0.7676 0.7676 0.2227  1 Ni 2.40
6 Hf 0.9880 0.5603 0.7637  1 Ni 2.72, 1 Sn 2.85, 1 Hf 2.90
7 Ni 0.0000 0.0000 0.0000  2 Hf 2.40
8 Sn 0.5000 0.5000 0.5000  6 Hf 2.85-2.87, 2 Ni 3.14

The formation energy is 22.9 kJ per mole of atoms. The total energy is -0.621 Ry/atom. The calculation puts the total magnetic moment at 0.0 μB per formula unit. The calculation puts the mass density at 11.7 g/cm3.

***

# 4
Density functional theory data (GGA-PBE) for a relaxed structure of Tm2PaCo.

a b c (Å): 10.4174 10.4174 10.4174
angles (deg): 17.99 17.99 17.99
With the nearest neighbours (Å) after each atom.
Fractional positions:
1 Tm 0.1056 0.1056 0.1056  3 Co 2.66
2 Tm 0.8944 0.8944 0.8944  3 Co 2.66
3 Pa 0.0000 0.0000 0.0000  2 Tm 3.25, 6 Pa 3.26
4 Co 0.5000 0.5000 0.5000  6 Tm 2.66

The formation energy is 25.7 kJ per mole of atoms. Its energy above the most stable polymorph in this dataset is 0.458 eV per atom. The total energy is -0.450 Ry/atom. The calculation puts the total magnetic moment at 0.1 μB per formula unit. The calculation puts the mass density at 11.1 g/cm3.

***

# 5
Density functional theory data (GGA-PBE) for a relaxed structure of Nb2CoIrC.

a b c (Å): 4.2832 4.2832 3.7700
angles (deg): 90.00 90.00 90.00
With the nearest neighbours (Å) after each atom.
Fractional positions:
1 Nb 0.0000 0.5000 0.0000  2 C 2.14
2 Nb 0.5000 0.0000 0.0000  2 C 2.14
3 Co 0.0000 0.0000 0.5000  2 C 1.89
4 Ir 0.5000 0.5000 0.5000  8 Nb 2.85, 4 Co 3.03
5 C 0.0000 0.0000 0.0000  2 Co 1.89

The formation energy is -22.7 kJ per mole of atoms. The total energy is -0.684 Ry/atom. The calculation puts the total magnetic moment at 1.1 μB per formula unit. The calculation puts the mass density at 10.8 g/cm3.

***

# 6
Density functional theory data (GGA-PBE) for a relaxed structure of Pm4Pr5Y2.

a b c (Å): 7.0290 7.0290 9.1876
angles (deg): 100.86 100.86 61.75
With the nearest neighbours (Å) after each atom.
Fractional positions:
1 Pm 0.1581 0.1581 0.4989  1 Pm 3.33, 1 Y 3.42
2 Pm 0.2095 0.2095 0.1573  1 Pm 3.33, 6 Pr 3.43-3.63, 3 Y 3.51-3.64
3 Pm 0.7905 0.7905 0.8427  1 Pm 3.33, 6 Pr 3.43-3.63, 3 Y 3.51-3.64
4 Pm 0.8419 0.8419 0.5011  1 Pm 3.33, 1 Y 3.42
5 Pr 0.1642 0.7217 0.1774  2 Pr 3.19-3.52, 1 Y 3.41, 1 Pm 3.43
6 Pr 0.2783 0.8358 0.8226  2 Pr 3.19-3.52, 1 Y 3.41, 1 Pm 3.43
7 Pr 0.5000 0.5000 0.5000  4 Pr 3.52
8 Pr 0.7217 0.1642 0.1774  2 Pr 3.19-3.52, 1 Y 3.41, 1 Pm 3.43
9 Pr 0.8358 0.2783 0.8226  2 Pr 3.19-3.52, 1 Y 3.41, 1 Pm 3.43
10 Y 0.3339 0.3339 0.8457  6 Pr 3.41-3.67, 4 Pm 3.42-3.64
11 Y 0.6661 0.6661 0.1543  6 Pr 3.41-3.67, 4 Pm 3.42-3.64

The formation energy is 13.9 kJ per mole of atoms. Its energy above the most stable polymorph in this dataset is 0.011 eV per atom. The total energy is -0.362 Ry/atom. The calculation puts the total magnetic moment at 0.0 μB per formula unit. The calculation puts the mass density at 6.2 g/cm3.

***

Repeat the third record exactly.
Density functional theory data (GGA-PBE) for a relaxed structure of Hf6NiSn.

a b c (Å): 6.2047 6.2047 6.0668
angles (deg): 103.71 103.71 120.16
With the nearest neighbours (Å) after each atom.
Fractional positions:
1 Hf 0.0120 0.4397 0.2363  1 Ni 2.72, 1 Sn 2.85, 1 Hf 2.90
2 Hf 0.2324 0.2324 0.7773  1 Ni 2.40
3 Hf 0.4397 0.0120 0.2363  1 Ni 2.72, 1 Sn 2.85, 1 Hf 2.90
4 Hf 0.5603 0.9880 0.7637  1 Ni 2.72, 1 Sn 2.85, 1 Hf 2.90
5 Hf 0.7676 0.7676 0.2227  1 Ni 2.40
6 Hf 0.9880 0.5603 0.7637  1 Ni 2.72, 1 Sn 2.85, 1 Hf 2.90
7 Ni 0.0000 0.0000 0.0000  2 Hf 2.40
8 Sn 0.5000 0.5000 0.5000  6 Hf 2.85-2.87, 2 Ni 3.14

The formation energy is 22.9 kJ per mole of atoms. The total energy is -0.621 Ry/atom. The calculation puts the total magnetic moment at 0.0 μB per formula unit. The calculation puts the mass density at 11.7 g/cm3.